Record 1
DFT (GGA-PBE) results for Th5Co2Au2 after structural relaxation.

Cell: 8.1855 7.0658 8.7986 Å, 90.00 62.28 90.00°
Closest atoms and distances in Å follow each position.
Sites, in units of the cell vectors:
Th 0.1989 0.1522 0.2451  3 Co 2.94-3.00, 3 Au 3.13-3.19
Th 0.6989 0.3478 0.2451  3 Co 2.94-3.00, 3 Au 3.13-3.19
Th 0.4441 0.1522 0.7549  3 Co 2.94-3.00, 3 Au 3.13-3.19
Th 0.0000 0.0000 0.0000  2 Co 2.59
Th 0.5000 0.5000 0.0000  2 Co 2.59
Th 0.3011 0.6522 0.7549  3 Co 2.94-3.00, 3 Au 3.13-3.19
Th 0.5559 0.8478 0.2451  3 Co 2.94-3.00, 3 Au 3.13-3.19
Th 0.0559 0.6522 0.2451  3 Co 2.94-3.00, 3 Au 3.13-3.19
Th 0.9441 0.3478 0.7549  3 Co 2.94-3.00, 3 Au 3.13-3.19
Th 0.8011 0.8478 0.7549  3 Co 2.94-3.00, 3 Au 3.13-3.19
Co 0.3954 0.8457 0.0000  1 Th 2.59, 1 Co 2.77
Co 0.6046 0.1543 0.0000  1 Th 2.59, 1 Co 2.77
Co 0.8954 0.6543 0.0000  1 Th 2.59, 1 Co 2.77
Co 0.1046 0.3457 0.0000  1 Th 2.59, 1 Co 2.77
Au 0.7139 0.5000 0.5722  7 Th 3.13-3.33
Au 0.7861 0.0000 0.4278  7 Th 3.13-3.33
Au 0.2139 0.0000 0.5722  7 Th 3.13-3.33
Au 0.2861 0.5000 0.4278  7 Th 3.13-3.33

Values from the calculation:
- ΔH_f (0 K) (eV per atom) = -0.39
- raw total energy (eV/atom) = -6.82
- size of the total moment (μB/f.u.) = 0.0

Record 2
DFT (GGA-PBE) results for ReB after structural relaxation.

Cell: 6.5561 6.5561 6.5561 Å, 90.00 90.00 90.00°
Closest atoms and distances in Å follow each position.
Sites, in units of the cell vectors:
Re 0.3477 0.3477 0.3477  4 B 2.07-2.09
Re 0.6523 0.3477 0.6523  4 B 2.07-2.09
Re 0.8477 0.8477 0.8477  4 B 2.07-2.09
Re 0.3477 0.6523 0.6523  4 B 2.07-2.09
Re 0.1523 0.1523 0.8477  4 B 2.07-2.09
Re 0.1523 0.8477 0.1523  4 B 2.07-2.09
Re 0.8477 0.1523 0.1523  4 B 2.07-2.09
Re 0.6523 0.6523 0.3477  4 B 2.07-2.09
B 0.1657 0.1657 0.1657  4 Re 2.07-2.09
B 0.3343 0.3343 0.6657  4 Re 2.07-2.09
B 0.6657 0.6657 0.6657  4 Re 2.07-2.09
B 0.1657 0.8343 0.8343  4 Re 2.07-2.09
B 0.8343 0.8343 0.1657  4 Re 2.07-2.09
B 0.6657 0.3343 0.3343  4 Re 2.07-2.09
B 0.3343 0.6657 0.3343  4 Re 2.07-2.09
B 0.8343 0.1657 0.8343  4 Re 2.07-2.09

Values from the calculation:
- ΔH_f (0 K) (eV per atom) = 1.01
- raw total energy (eV/atom) = -8.55
- size of the total moment (μB/f.u.) = 0.0

Record 3
DFT (GGA-PBE) results for CeNd2Tl4 after structural relaxation.

Cell: 5.4604 5.4604 8.4435 Å, 108.87 108.87 90.00°
Closest atoms and distances in Å follow each position.
Sites, in units of the cell vectors:
Tl 0.8844 0.3844 0.7687  2 Ce 3.24, 4 Nd 3.34-3.46, 1 Tl 3.47
Tl 0.1156 0.6156 0.2313  2 Ce 3.24, 4 Nd 3.34-3.46, 1 Tl 3.47
Tl 0.6156 0.1156 0.2313  2 Ce 3.24, 4 Nd 3.34-3.46, 1 Tl 3.47
Tl 0.3844 0.8844 0.7687  2 Ce 3.24, 4 Nd 3.34-3.46, 1 Tl 3.47
Nd 0.2566 0.2566 0.5133  8 Tl 3.34-3.46
Nd 0.7434 0.7434 0.4867  8 Tl 3.34-3.46
Ce 0.0000 0.0000 0.0000  8 Tl 3.24

Values from the calculation:
- ΔH_f (0 K) (eV per atom) = -0.19
- raw total energy (eV/atom) = -3.76
- size of the total moment (μB/f.u.) = 1.0